No. 1
DFT (PBE) results for a geometry-optimized K2VSe8 structure.

a = 6.4884 Å, b = 7.7812 Å, c = 7.9265 Å
α = 105.66°, β = 99.82°, γ = 110.13°
Closest atoms and distances in Å follow each position.
Space group P-1 (No. 2)
Asymmetric unit:
K: 0.0482 0.2808 0.2634 (multiplicity 2)  8 Se 3.36-3.59
V: 0.5000 0.0000 0.5000 (multiplicity 1)  6 Se 2.34-2.59
Se: 0.0608 0.8967 0.3963 (multiplicity 2)  1 Se 2.41, 1 V 2.59
Se: 0.4145 0.7224 0.2460 (multiplicity 2)  1 V 2.34
Se: 0.4295 0.7284 0.6223 (multiplicity 2)  1 V 2.49, 1 Se 2.53
Se: 0.4582 0.1426 0.0309 (multiplicity 2)  2 Se 2.41-2.53

Size of the total moment, Bohr magnetons per cell: 0.00
Uncorrected formation energy, meV/atom: -484.1

***

No. 2
DFT (PBE) results for a geometry-optimized Cs2ScHBr6 structure.

a = 7.2617 Å, b = 7.2617 Å, c = 12.2123 Å
α = 90.00°, β = 90.00°, γ = 90.00°
Closest atoms and distances in Å follow each position.
Space group I4/mmm (No. 139)
Asymmetric unit:
Cs: 0.0000 0.5000 0.2500 (multiplicity 4)  12 Br 3.66-3.99
Sc: 0.0000 0.0000 0.0000 (multiplicity 2)  6 Br 2.63-2.72
H: 0.0000 0.0000 0.5000 (multiplicity 2)  4 Br 2.42
Br: 0.0000 0.0000 0.2151 (multiplicity 4)  1 Sc 2.63
Br: 0.2354 0.2354 0.5000 (multiplicity 8)  1 H 2.42

Raw total energy, eV for the cell shown: -67.44
Size of the total moment, Bohr magnetons per cell: 0.00